1.
Entry from Alexandria via LeMat-Bulk: a geometry-optimized Tb7Ru2Au2 structure (PBE-GGA).

Cell: 3.913 9.217 9.217 Å, 61.33 77.74 77.74°
Fractional positions:
Ru 0.257 0.342 0.145
Ru 0.743 0.855 0.658
Tb 0.854 0.408 0.884
Tb 0.500 0.021 0.979
Tb 0.817 0.083 0.283
Tb 0.621 0.479 0.278
Tb 0.379 0.722 0.521
Tb 0.146 0.116 0.592
Tb 0.183 0.717 0.917
Au 0.500 0.343 0.657
Au 0.000 0.766 0.234

Results
* polymorph energy (0 for the lowest one): 0 meV/atom
* space-group type: Imm2, No. 44

2.
Entry from Alexandria via LeMat-Bulk: a geometry-optimized Tb5Ru2Au structure (PBE-GGA).

Cell: 7.694 7.694 8.576 Å, 116.65 116.65 90.00°
Fractional positions:
Au 0.750 0.750 0.500
Au 0.250 0.250 0.500
Tb 0.476 0.297 0.272
Tb 0.024 0.524 0.728
Tb 0.797 0.976 0.272
Tb 0.500 0.500 0.000
Tb 0.703 0.203 0.728
Tb 0.297 0.797 0.272
Tb 0.000 0.000 0.000
Tb 0.203 0.024 0.728
Tb 0.524 0.703 0.728
Tb 0.976 0.476 0.272
Ru 0.359 0.859 0.000
Ru 0.641 0.141 0.000
Ru 0.141 0.359 0.000
Ru 0.859 0.641 0.000

Results
* space-group type: I4/mcm, No. 140

3.
Entry from Alexandria via LeMat-Bulk: a geometry-optimized Tb4TlRu2Au structure (PBE-GGA).

Cell: 5.039 5.039 8.725 Å, 73.22 73.22 60.00°
Fractional positions:
Tb 0.621 0.621 0.137
Tb 0.379 0.379 0.863
Tb 0.872 0.872 0.385
Tb 0.128 0.128 0.615
Ru 0.749 0.749 0.753
Ru 0.251 0.251 0.247
Au 0.500 0.500 0.500
Tl 0.000 0.000 0.000

Results
* space-group type: R-3m, No. 166

4.
Entry from Alexandria via LeMat-Bulk: a geometry-optimized TbTmRuAu structure (PBE-GGA).

Cell: 3.421 3.421 7.258 Å, 90.00 90.00 90.00°
Fractional positions:
Ru 0.500 0.500 0.601
Tm 0.000 0.000 0.376
Au 0.500 0.500 0.116
Tb 0.000 0.000 0.836

Results
* polymorph energy (0 for the lowest one): 0 meV/atom
* space-group type: P4mm, No. 99

5.
Entry from Alexandria via LeMat-Bulk: a geometry-optimized TbTmRuAu structure (PBE-GGA).

Cell: 4.928 4.928 4.928 Å, 60.00 60.00 60.00°
Fractional positions:
Ru 0.750 0.750 0.750
Au 0.250 0.250 0.250
Tb 0.500 0.500 0.500
Tm 0.000 0.000 0.000

Results
* polymorph energy (0 for the lowest one): 74 meV/atom
* space-group type: F-43m, No. 216

6.
Entry from Alexandria via LeMat-Bulk: a geometry-optimized TbYRuAu structure (PBE-GGA).

Cell: 3.453 3.453 7.290 Å, 90.00 90.00 90.00°
Fractional positions:
Y 0.000 0.000 0.376
Tb 0.000 0.000 0.837
Au 0.500 0.500 0.107
Ru 0.500 0.500 0.608

Results
* polymorph energy (0 for the lowest one): 0 meV/atom
* space-group type: P4mm, No. 99

7.
Entry from Alexandria via LeMat-Bulk: a geometry-optimized TbYRuAu structure (PBE-GGA).

Cell: 4.967 4.967 4.967 Å, 60.00 60.00 60.00°
Fractional positions:
Y 0.750 0.750 0.750
Tb 0.250 0.250 0.250
Au 0.500 0.500 0.500
Ru 0.000 0.000 0.000

Results
* polymorph energy (0 for the lowest one): 66 meV/atom
* space-group type: F-43m, No. 216

8.
Entry from Alexandria via LeMat-Bulk: a geometry-optimized Tb2Zn5Ru2Au structure (PBE-GGA).

Cell: 3.908 9.586 9.586 Å, 90.00 90.00 90.00°
Fractional positions:
Zn 0.500 0.557 0.701
Zn 0.500 0.701 0.443
Zn 0.500 0.943 0.201
Zn 0.500 0.443 0.299
Zn 0.500 0.000 0.500
Zn 0.500 0.057 0.799
Zn 0.500 0.500 0.000
Zn 0.500 0.299 0.557
Zn 0.500 0.799 0.943
Zn 0.500 0.201 0.057
Tb 0.000 0.177 0.323
Tb 0.000 0.823 0.677
Tb 0.000 0.323 0.823
Tb 0.000 0.677 0.177
Ru 0.000 0.375 0.125
Ru 0.000 0.875 0.375
Ru 0.000 0.125 0.625
Ru 0.000 0.625 0.875
Au 0.000 0.000 0.000
Au 0.000 0.500 0.500

Results
* space-group type: P4/mbm, No. 127

9.
Entry from Alexandria via LeMat-Bulk: a geometry-optimized TbZrRuAu structure (PBE-GGA).

Cell: 4.861 4.861 4.861 Å, 60.00 60.00 60.00°
Fractional positions:
Ru 0.750 0.750 0.750
Tb 0.500 0.500 0.500
Au 0.250 0.250 0.250
Zr 0.000 0.000 0.000

Results
* space-group type: F-43m, No. 216

10.
Entry from Alexandria via LeMat-Bulk: a geometry-optimized TcRu2Au structure (PBE-GGA).

Cell: 2.766 3.852 5.648 Å, 90.00 90.00 90.00°
Fractional positions:
Ru 0.000 0.000 0.479
Ru 0.000 0.000 0.021
Au 0.500 0.500 0.750
Tc 0.500 0.500 0.250

Results
* polymorph energy (0 for the lowest one): 78 meV/atom
* space-group type: Pmmm, No. 47

11.
Entry from Alexandria via LeMat-Bulk: a geometry-optimized TcRuAu2 structure (PBE-GGA).

Cell: 4.498 4.498 4.498 Å, 60.00 60.00 60.00°
Fractional positions:
Au 0.750 0.750 0.750
Au 0.250 0.250 0.250
Ru 0.500 0.500 0.500
Tc 0.000 0.000 0.000

Results
* polymorph energy (0 for the lowest one): 469 meV/atom
* space-group type: Fm-3m, No. 225

12.
Entry from Alexandria via LeMat-Bulk: a geometry-optimized TcRuAu structure (PBE-GGA).

Cell: 7.582 7.354 2.731 Å, 84.23 74.77 21.00°
Fractional positions:
Ru 0.323 0.323 0.677
Au 0.000 0.000 0.000
Tc 0.677 0.677 0.323

Results
* polymorph energy (0 for the lowest one): 271 meV/atom
* space-group type: Fmm2, No. 42

13.
Entry from Alexandria via LeMat-Bulk: a geometry-optimized TcRu2Au structure (PBE-GGA).

Cell: 4.432 4.432 4.432 Å, 60.00 60.00 60.00°
Fractional positions:
Ru 0.750 0.750 0.750
Ru 0.000 0.000 0.000
Au 0.500 0.500 0.500
Tc 0.250 0.250 0.250

Results
* polymorph energy (0 for the lowest one): 466 meV/atom
* space-group type: F-43m, No. 216

14.
Entry from Alexandria via LeMat-Bulk: a geometry-optimized TcRuAu2 structure (PBE-GGA).

Cell: 4.623 4.623 3.012 Å, 90.00 90.00 90.00°
Fractional positions:
Au 0.000 0.000 0.000
Au 0.500 0.500 0.000
Tc 0.000 0.500 0.500
Ru 0.500 0.000 0.500

Results
* polymorph energy (0 for the lowest one): 481 meV/atom
* space-group type: P4/mmm, No. 123

15.
Entry from Alexandria via LeMat-Bulk: a geometry-optimized TcRuAu2 structure (PBE-GGA).

Cell: 2.761 2.761 9.805 Å, 90.00 90.00 117.72°
Fractional positions:
Au 0.500 0.500 0.260
Au 0.000 0.000 0.990
Tc 0.500 0.500 0.731
Ru 0.000 0.000 0.518

Results
* polymorph energy (0 for the lowest one): 212 meV/atom
* space-group type: Cmm2, No. 35

16.
Entry from Alexandria via LeMat-Bulk: a geometry-optimized Tc2RuAu structure (PBE-GGA).

Cell: 4.894 4.894 4.894 Å, 133.78 133.78 67.43°
Fractional positions:
Tc 0.000 0.000 0.000
Tc 0.500 0.500 0.000
Ru 0.750 0.250 0.500
Au 0.250 0.750 0.500

Results
* polymorph energy (0 for the lowest one): 104 meV/atom
* space-group type: I4/mmm, No. 139

17.
Entry from Alexandria via LeMat-Bulk: a geometry-optimized Tc2RuAu structure (PBE-GGA).

Cell: 4.432 4.432 4.432 Å, 60.00 60.00 60.00°
Fractional positions:
Tc 0.000 0.000 0.000
Tc 0.250 0.250 0.250
Ru 0.750 0.750 0.750
Au 0.500 0.500 0.500

Results
* polymorph energy (0 for the lowest one): 337 meV/atom
* space-group type: F-43m, No. 216

18.
Entry from Alexandria via LeMat-Bulk: a geometry-optimized TcRu2Au structure (PBE-GGA).

Cell: 2.735 2.735 8.040 Å, 90.00 90.00 90.00°
Fractional positions:
Tc 0.000 0.000 0.485
Ru 0.500 0.500 0.245
Ru 0.000 0.000 0.019
Au 0.500 0.500 0.751

Results
* polymorph energy (0 for the lowest one): 96 meV/atom
* space-group type: P4mm, No. 99

19.
Entry from Alexandria via LeMat-Bulk: a geometry-optimized TcRu2Au structure (PBE-GGA).

Cell: 2.710 2.710 9.446 Å, 90.00 90.00 116.96°
Fractional positions:
Ru 0.000 0.000 0.017
Ru 0.000 0.000 0.483
Au 0.500 0.500 0.750
Tc 0.500 0.500 0.250

Results
* polymorph energy (0 for the lowest one): 276 meV/atom
* space-group type: Cmmm, No. 65

20.
Entry from Alexandria via LeMat-Bulk: a geometry-optimized TcRu2Au structure (PBE-GGA).

Cell: 9.330 9.330 9.330 Å, 17.01 17.01 17.01°
Fractional positions:
Ru 0.507 0.507 0.507
Ru 0.993 0.993 0.993
Au 0.750 0.750 0.750
Tc 0.250 0.250 0.250

Results
* polymorph energy (0 for the lowest one): 0 meV/atom
* space-group type: R-3m, No. 166

21.
Entry from Alexandria via LeMat-Bulk: a geometry-optimized TcRu2Au structure (PBE-GGA).

Cell: 3.831 3.944 3.944 Å, 90.00 90.00 90.00°
Fractional positions:
Ru 0.000 0.500 0.500
Ru 0.000 0.000 0.000
Au 0.500 0.000 0.500
Tc 0.500 0.500 0.000

Results
* polymorph energy (0 for the lowest one): 209 meV/atom
* space-group type: P4/mmm, No. 123

22.
Entry from Alexandria via LeMat-Bulk: a geometry-optimized TcRuAu2 structure (PBE-GGA).

Cell: 2.840 2.840 8.073 Å, 90.00 90.00 90.00°
Fractional positions:
Au 0.500 0.500 0.263
Au 0.000 0.000 0.987
Tc 0.500 0.500 0.723
Ru 0.000 0.000 0.528

Results
* polymorph energy (0 for the lowest one): 0 meV/atom
* space-group type: P4mm, No. 99

23.
Entry from Alexandria via LeMat-Bulk: a geometry-optimized Tc2Ru2Au structure (PBE-GGA).

Cell: 7.538 7.538 2.751 Å, 90.00 90.00 90.00°
Fractional positions:
Au 0.500 0.500 0.000
Au 0.000 0.000 0.000
Tc 0.122 0.378 0.000
Tc 0.878 0.622 0.000
Tc 0.622 0.122 0.000
Tc 0.378 0.878 0.000
Ru 0.666 0.834 0.500
Ru 0.334 0.166 0.500
Ru 0.166 0.666 0.500
Ru 0.834 0.334 0.500

Results
* polymorph energy (0 for the lowest one): 24 meV/atom
* space-group type: P4/mbm, No. 127

24.
Entry from Alexandria via LeMat-Bulk: a geometry-optimized TcRu2Au2 structure (PBE-GGA).

Cell: 7.023 7.023 7.023 Å, 149.65 149.65 43.45°
Fractional positions:
Tc 0.000 0.000 0.000
Ru 0.590 0.590 0.000
Ru 0.410 0.410 0.000
Au 0.250 0.750 0.500
Au 0.750 0.250 0.500

Results
* space-group type: I4/mmm, No. 139

25.
Entry from Alexandria via LeMat-Bulk: a geometry-optimized TcRu4Au structure (PBE-GGA).

Cell: 5.071 5.071 5.071 Å, 60.00 60.00 60.00°
Fractional positions:
Ru 0.125 0.625 0.625
Ru 0.625 0.625 0.125
Ru 0.625 0.125 0.625
Ru 0.625 0.625 0.625
Au 0.000 0.000 0.000
Tc 0.250 0.250 0.250

Results
* space-group type: F-43m, No. 216

26.
Entry from Alexandria via LeMat-Bulk: a geometry-optimized TcRuAu2 structure (PBE-GGA).

Cell: 4.864 4.864 4.976 Å, 80.75 80.75 33.42°
Fractional positions:
Au 0.003 0.003 0.003
Au 0.246 0.246 0.246
Ru 0.493 0.493 0.528
Tc 0.758 0.758 0.723

Results
* polymorph energy (0 for the lowest one): 205 meV/atom
* space-group type: Cm, No. 8

27.
Entry from Alexandria via LeMat-Bulk: a geometry-optimized TcRu2Au structure (PBE-GGA).

Cell: 4.423 4.423 4.423 Å, 60.00 60.00 60.00°
Fractional positions:
Tc 0.000 0.000 0.000
Ru 0.250 0.250 0.250
Ru 0.750 0.750 0.750
Au 0.500 0.500 0.500

Results
* polymorph energy (0 for the lowest one): 399 meV/atom
* space-group type: Fm-3m, No. 225

28.
Entry from Alexandria via LeMat-Bulk: a geometry-optimized TcRu2Au structure (PBE-GGA).

Cell: 4.627 2.693 4.938 Å, 87.64 90.00 90.00°
Fractional positions:
Ru 0.000 0.031 0.017
Ru 0.000 0.469 0.483
Au 0.500 0.750 0.750
Tc 0.500 0.250 0.250

Results
* polymorph energy (0 for the lowest one): 375 meV/atom
* space-group type: P2/m, No. 10

Calculated total energy, record by record: -62.96; -48.92; -45.90; -24.35; -24.06; -26.17; -25.91; -39.71; -27.57; -31.26; -23.84; -21.65; -29.71; -23.79; -24.87; -32.12; -31.19; -31.19; -30.47; -31.57; -30.74; -25.71; -41.43; -30.91; -47.33; -24.89; -29.98; -30.07 eV/f.u.
V, record by record: 25.70; 24.53; 22.61; 21.23; 21.15; 21.73; 21.67; 17.96; 20.31; 15.04; 16.08; 15.94; 15.39; 16.09; 16.54; 15.02; 15.39; 15.04; 15.45; 15.15; 14.90; 16.27; 15.63; 17.64; 15.37; 15.98; 15.30; 15.37 A^3/atom
Energy of formation from the pure elements, record by record: -495; -492; -398; -675; -601; -631; -566; -225; -459; 234; 590; 422; 621; 602; 333; 291; 524; 251; 431; 156; 364; 121; 226; 913; 569; 326; 555; 530 meV/atom